# LiLu2Os PBE relaxed
# **Total magnetization**: 0.0 μB/f.u.
# **Crystal system**: hexagonal
# **Offset from the most stable computed form**: 18 meV/atom
# **E_tot**: -5.446 eV/atom
data_LiLu2Os
_cell_length_a 4.2336
_cell_length_b 4.2336
_cell_length_c 13.0358
_cell_angle_alpha 90.00
_cell_angle_beta 90.00
_cell_angle_gamma 120.00
_symmetry_space_group_name_H-M 'P 63/m m c'
_symmetry_Int_Tables_number 194
_symmetry_space_group_name_Hall '-P 6c 2c'
loop_
_atom_site_label
_atom_site_fract_x
_atom_site_fract_y
_atom_site_fract_z
_atom_site_occupancy
Li1 0.3333 0.6667 0.2500 1
Lu1 0.3333 0.6667 0.5921 1
Os1 0.0000 0.0000 0.0000 1